1.
A plane-wave DFT calculation with PBE was carried out for a relaxed TaAlSi crystal.

Summary:
As for the mass density: 8.4 g/cm3. The value obtained for the total moment is 0.00 μB per atom. As for the uncorrected formation energy: -350 meV per atom.

POSCAR file:
```
TaAlSi
1.0
8.8897 0.0000 0.0000
0.0000 4.9815 0.0000
0.0000 0.0000 8.4585
Si Al Ta
8 8 8
Direct
0.2500 0.2500 0.0871
0.2500 0.7500 0.9129
0.7500 0.2500 0.9129
0.7500 0.7500 0.0871
0.2500 0.7500 0.5871
0.2500 0.2500 0.4129
0.7500 0.7500 0.4129
0.7500 0.2500 0.5871
0.0000 0.0000 0.1645
0.0000 0.0000 0.8355
0.0000 0.5000 0.6645
0.0000 0.5000 0.3355
0.5000 0.0000 0.6645
0.5000 0.0000 0.3355
0.5000 0.5000 0.1645
0.5000 0.5000 0.8355
0.0000 0.0000 0.5000
0.0000 0.5000 0.0000
0.5000 0.0000 0.0000
0.5000 0.5000 0.5000
0.2500 0.2500 0.7500
0.2500 0.7500 0.2500
0.7500 0.2500 0.2500
0.7500 0.7500 0.7500
```

2.
A plane-wave DFT calculation with PBE was carried out for a relaxed TaAlSi2 crystal.

Summary:
As for the mass density: 7.0 g/cm3. The value obtained for the total moment is 0.00 μB per atom. As for the uncorrected formation energy: 101 meV per atom.

POSCAR file:
```
TaAlSi2
1.0
-2.5755 -1.0915 0.0692
0.9883 -2.3986 -1.0484
1.3329 -2.6773 7.3820
Si Al Ta
2 1 1
Direct
0.0000 0.0000 0.0029
0.5000 0.5000 0.2471
0.5000 0.5000 0.7555
0.0000 0.0000 0.4945
```

3.
A plane-wave DFT calculation with PBE was carried out for a relaxed TaAlSi crystal.

Summary:
As for the mass density: 8.4 g/cm3. The value obtained for the total moment is 0.00 μB per atom. As for the uncorrected formation energy: -322 meV per atom.

POSCAR file:
```
TaAlSi
1.0
-0.6498 2.5596 4.3485
-8.1492 1.1147 -1.8739
-0.6678 -4.9512 -0.0411
Si Al Ta
4 4 4
Direct
0.7500 0.2014 0.7500
0.2500 0.7986 0.2500
0.7500 0.7014 0.2500
0.2500 0.2986 0.7500
0.7500 0.5272 0.7500
0.2500 0.4728 0.2500
0.7500 0.0272 0.2500
0.2500 0.9728 0.7500
0.7500 0.8663 0.7500
0.2500 0.1337 0.2500
0.7500 0.3663 0.2500
0.2500 0.6337 0.7500
```

4.
A plane-wave DFT calculation with PBE was carried out for a relaxed Ta2AlSiTe crystal.

Summary:
As for the mass density: 7.0 g/cm3. The value obtained for the total moment is 0.00 μB per atom. As for the uncorrected formation energy: 1816 meV per atom.

POSCAR file:
```
Ta2AlSiTe
1.0
-4.2392 -2.2140 1.6722
2.0162 -4.5081 -0.8574
1.8827 -0.0525 4.7033
Si Te Al Ta
1 1 1 2
Direct
0.0000 0.5000 0.0000
0.0000 0.0000 0.0000
0.5000 0.5000 0.5000
0.0000 0.0000 0.5000
0.5000 0.0000 0.0000
```

5.
A plane-wave DFT calculation with PBE was carried out for a relaxed Tb2Al2Si3 crystal.

Summary:
As for the mass density: 5.2 g/cm3. The value obtained for the total moment is 0.00 μB per atom. As for the uncorrected formation energy: -494 meV per atom.

POSCAR file:
```
Tb2Al2Si3
1.0
4.0338 0.0000 0.8941
1.8853 7.5279 1.0405
0.0101 -0.1770 9.5003
Tb Al Si
4 4 6
Direct
0.2681 0.1270 0.3368
0.7319 0.8730 0.6632
0.4026 0.2531 0.9417
0.5974 0.7469 0.0583
0.0508 0.2117 0.6866
0.9492 0.7883 0.3134
0.4047 0.5294 0.6613
0.5953 0.4706 0.3387
0.0844 0.9512 0.8801
0.9156 0.0488 0.1199
0.1640 0.4885 0.1835
0.8360 0.5115 0.8165
0.3857 0.7660 0.4626
0.6143 0.2340 0.5374
```

6.
A plane-wave DFT calculation with PBE was carried out for a relaxed Tb4AlSi2 crystal.

Summary:
As for the mass density: 6.4 g/cm3. The value obtained for the total moment is 0.00 μB per atom. As for the uncorrected formation energy: -414 meV per atom.

POSCAR file:
```
Tb4AlSi2
1.0
4.7298 0.0000 0.0000
2.3649 4.0961 0.0000
2.3649 1.3654 9.6140
Tb Al Si
4 1 2
Direct
0.3807 0.3807 0.8579
0.2046 0.2046 0.3863
0.7954 0.7954 0.6137
0.6193 0.6193 0.1421
0.0000 0.0000 0.0000
0.0969 0.0969 0.7093
0.9031 0.9031 0.2907
```